Be2AlWF after structural relaxation, computed with GGA+U.

abc: 4.621 5.357 4.621
angles: 90.00 90.00 90.00
Site moments in Bohr magnetons follow the coordinates.
Positions (direct):
1 Be 0.500 0.000 0.000  0.10
2 Be 0.000 0.000 0.500  0.05
3 Al 0.000 0.500 0.000  0.05
4 W 0.000 0.000 0.000  2.47
5 F 0.500 0.500 0.500  0.17

Output
- VASP energy: -2.8683 eV per atom